[1]
Computed, not measured: LiPm3Sn4 after structural relaxation at the PBE-GGA level of DFT.

The space group is Immm (No. 71) and the conventional cell measures 4.540, 6.593 and 16.219 Å, with angles of 90.00, 90.00 and 90.00 degrees. The distinct sites, in fractional coordinates, are Li at (0.000, 0.000, 0.000), Pm at (0.000, 0.000, 0.500), Pm at (0.000, 0.500, 0.303) and Sn at (0.000, 0.282, 0.121).

For the energy relative to the elements, the calculation gives -0.51 eV per atom.

***

[2]
Computed, not measured: Li4PmSn after structural relaxation at the PBE-GGA level of DFT.

The space group is F-43m (No. 216) and the conventional cell measures 7.861, 7.861 and 7.861 Å, with angles of 90.00, 90.00 and 90.00 degrees. The distinct sites, in fractional coordinates, are Li at (0.124, 0.124, 0.376), Pm at (0.000, 0.000, 0.000) and Sn at (0.250, 0.250, 0.750).

For the energy relative to the elements, the calculation gives -0.16 eV per atom.

***

[3]
Computed, not measured: LiPm4Sn3 after structural relaxation at the PBE-GGA level of DFT.

The space group is Pmm2 (No. 25) and the conventional cell measures 4.440, 4.540 and 11.688 Å, with angles of 90.00, 90.00 and 90.00 degrees. The distinct sites, in fractional coordinates, are Li at (0.000, 0.000, 0.000), Pm at (0.000, 0.000, 0.704), Pm at (0.000, 0.500, 0.203), Pm at (0.500, 0.000, 0.427), Pm at (0.500, 0.500, 0.929), Sn at (0.000, 0.500, 0.476), Sn at (0.500, 0.000, 0.143) and Sn at (0.500, 0.500, 0.655).

For the energy relative to the elements, the calculation gives -0.56 eV per atom.

***

[4]
Computed, not measured: Li2Pm2Sn after structural relaxation at the PBE-GGA level of DFT.

The space group is I4/mmm (No. 139) and the conventional cell measures 3.625, 3.625 and 20.259 Å, with angles of 90.00, 90.00 and 90.00 degrees. The distinct sites, in fractional coordinates, are Li at (0.000, 0.500, 0.250), Pm at (0.000, 0.000, 0.102) and Sn at (0.000, 0.000, 0.500).

For the energy relative to the elements, the calculation gives -0.15 eV per atom.

***

[5]
Computed, not measured: LiPm12Sn6 after structural relaxation at the PBE-GGA level of DFT.

The space group is R-3m (No. 166, hexagonal axes) and the conventional cell measures 14.5496, 14.5496 and 11.5708 Å, with angles of 90.00, 90.00 and 120.00 degrees. The distinct sites, in fractional coordinates, are Li at (0.0000, 0.0000, 0.0000), Pm at (0.0000, 0.3665, 0.5000), Pm at (0.0931, 0.1862, 0.3635) and Sn at (0.0418, 0.5209, 0.2834).

For the energy relative to the elements, the calculation gives -0.32 eV per atom.

***

[6]
Computed, not measured: Li2PmSn2 after structural relaxation at the PBE-GGA level of DFT.

The space group is I4/mmm (No. 139) and the conventional cell measures 4.345, 4.345 and 12.422 Å, with angles of 90.00, 90.00 and 90.00 degrees. The distinct sites, in fractional coordinates, are Li at (0.000, 0.500, 0.250), Pm at (0.000, 0.000, 0.000) and Sn at (0.000, 0.000, 0.386).

For the energy relative to the elements, the calculation gives -0.54 eV per atom.

***

Number 1: energy -4.53 eV/atom. Number 2: energy -2.90 eV/atom. Number 3: energy -4.68 eV/atom. Number 4: energy -3.61 eV/atom. Number 5: energy -4.69 eV/atom. Number 6: energy -3.85 eV/atom.